Record 1
Below is AsCl2 after structural relaxation, with properties calculated at the PBEsol level.

Results
Space-group type: I4/mmm
N(E_F), states/eV/f.u.: 1.3

Lattice parameters (Å, degrees): 3.1431 3.1431 6.7049 103.56 103.56 90.00
Last column: nearest neighbours and their distance in Å.
Fractional coordinates of all 3 atoms:
As (0.0000, 0.0000, 0.0000)  8 Cl 2.78
Cl (0.6316, 0.6316, 0.2632)  4 As 2.78
Cl (0.3684, 0.3684, 0.7368)  4 As 2.78



Record 2
Below is AsCl3 after structural relaxation, with properties calculated at the PBEsol level.

Results
Space-group type: Pmmn
N(E_F), states/eV/f.u.: 0.0

Lattice parameters (Å, degrees): 4.9551 6.8253 8.3154 90.00 90.00 90.00
Last column: nearest neighbours and their distance in Å.
Fractional coordinates of all 8 atoms:
As (0.0000, 0.0000, 0.3494)  2 Cl 2.16
As (0.5000, 0.5000, 0.6506)  2 Cl 2.16
Cl (0.5000, 0.0000, 0.4069)  2 As 2.52
Cl (0.0000, 0.5000, 0.5931)  2 As 2.52
Cl (0.0000, 0.7590, 0.1803)  1 As 2.16
Cl (0.0000, 0.2410, 0.1803)  1 As 2.16
Cl (0.5000, 0.2590, 0.8197)  1 As 2.16
Cl (0.5000, 0.7410, 0.8197)  1 As 2.16



Record 3
Below is AsCl3 after structural relaxation, with properties calculated at the PBEsol level.

Results
Space-group type: P2_12_12_1
N(E_F), states/eV/f.u.: 0.0

Lattice parameters (Å, degrees): 4.0754 9.6835 11.7998 90.00 90.00 90.00
Last column: nearest neighbours and their distance in Å.
Fractional coordinates of all 16 atoms:
As (0.4992, 0.3018, 0.7150)  3 Cl 2.20
As (0.9992, 0.1982, 0.2851)  3 Cl 2.20
As (0.0008, 0.6982, 0.2150)  3 Cl 2.20
As (0.5008, 0.8018, 0.7850)  3 Cl 2.20
Cl (0.7753, 0.2971, 0.8753)  1 As 2.20
Cl (0.2753, 0.2029, 0.1247)  1 As 2.20
Cl (0.7247, 0.7029, 0.3753)  1 As 2.20
Cl (0.2247, 0.7971, 0.6247)  1 As 2.20
Cl (0.7674, 0.1377, 0.6245)  1 As 2.20
Cl (0.2674, 0.3623, 0.3755)  1 As 2.20
Cl (0.7326, 0.8623, 0.1245)  1 As 2.20
Cl (0.2326, 0.6377, 0.8755)  1 As 2.20
Cl (0.7545, 0.4779, 0.6364)  1 As 2.20
Cl (0.2545, 0.0221, 0.3636)  1 As 2.20
Cl (0.7455, 0.5221, 0.1364)  1 As 2.20
Cl (0.2455, 0.9779, 0.8636)  1 As 2.20



Record 4
Below is AsCl5 after structural relaxation, with properties calculated at the PBEsol level.

Results
Space-group type: Pmmn

Lattice parameters (Å, degrees): 6.4239 7.4750 7.6246 90.00 90.00 90.00
Last column: nearest neighbours and their distance in Å.
Fractional coordinates of all 12 atoms:
As (0.8005, 0.5000, 0.5000)  5 Cl 2.16-2.24
As (0.1995, 0.0000, 0.0000)  5 Cl 2.16-2.24
Cl (0.6235, 0.2548, 0.5000)  1 As 2.16
Cl (0.6235, 0.7452, 0.5000)  1 As 2.16
Cl (0.3765, 0.2452, 0.0000)  1 As 2.16
Cl (0.3765, 0.7548, 0.0000)  1 As 2.16
Cl (0.1362, 0.5000, 0.5000)  1 As 2.16
Cl (0.8638, 0.0000, 0.0000)  1 As 2.16
Cl (0.8044, 0.5000, 0.7943)  1 As 2.24
Cl (0.8044, 0.5000, 0.2057)  1 As 2.24
Cl (0.1956, 0.0000, 0.2943)  1 As 2.24
Cl (0.1956, 0.0000, 0.7057)  1 As 2.24



Record 5
Below is As5Cl after structural relaxation, with properties calculated at the PBEsol level.

Results
Space-group type: P6/mmm
N(E_F), states/eV/f.u.: 3.5

Lattice parameters (Å, degrees): 4.8546 5.3554 5.3554 120.00 90.00 90.00
Last column: nearest neighbours and their distance in Å.
Fractional coordinates of all 6 atoms:
As (0.0000, 0.5000, 0.5000)  8 As 2.68-2.88
As (0.0000, 0.5000, 0.0000)  8 As 2.68-2.88
As (0.0000, 0.0000, 0.5000)  8 As 2.68-2.88
As (0.5000, 0.3333, 0.6667)  9 As 2.88-3.09, 3 Cl 3.09
As (0.5000, 0.6667, 0.3333)  9 As 2.88-3.09, 3 Cl 3.09
Cl (0.5000, 0.0000, 0.0000)  6 As 3.09



Record 6
Below is Co2AsCl after structural relaxation, with properties calculated at the PBEsol level.

Results
Space-group type: Pmmm
Distance to the lowest polymorph of the same formula, eV per formula unit: 0.00
N(E_F), states/eV/f.u.: 3.9

Lattice parameters (Å, degrees): 2.8810 3.0280 6.2582 90.00 90.00 90.00
Last column: nearest neighbours and their distance in Å.
Fractional coordinates of all 4 atoms:
As (0.5000, 0.0000, 0.0000)  8 Co 2.42
Co (0.0000, 0.5000, 0.8036)  2 Cl 2.38, 4 As 2.42, 1 Co 2.46
Co (0.0000, 0.5000, 0.1964)  2 Cl 2.38, 4 As 2.42, 1 Co 2.46
Cl (0.5000, 0.5000, 0.5000)  4 Co 2.38



Record 7
Below is Co2AsCl after structural relaxation, with properties calculated at the PBEsol level.

Results
Space-group type: I-42d
Distance to the lowest polymorph of the same formula, eV per formula unit: 0.62
N(E_F), states/eV/f.u.: 4.3

Lattice parameters (Å, degrees): 5.1103 6.1602 5.1103 65.49 90.00 114.51
Last column: nearest neighbours and their distance in Å.
Fractional coordinates of all 8 atoms:
As (0.7500, 0.5000, 0.7500)  4 Co 2.24
As (0.0000, 0.0000, 0.0000)  4 Co 2.24
Co (0.6106, 0.7500, 0.3750)  2 Cl 2.15, 2 As 2.24
Co (0.1394, 0.7500, 0.8750)  2 Cl 2.15, 2 As 2.24
Co (0.8750, 0.2500, 0.6106)  2 Cl 2.15, 2 As 2.24
Co (0.3750, 0.2500, 0.1394)  2 Cl 2.15, 2 As 2.24
Cl (0.2500, 0.5000, 0.2500)  4 Co 2.15
Cl (0.5000, 0.0000, 0.5000)  4 Co 2.15



Record 8
Below is CoAsCl2 after structural relaxation, with properties calculated at the PBEsol level.

Results
Space-group type: Pmmm
Distance to the lowest polymorph of the same formula, eV per formula unit: 1.86
N(E_F), states/eV/f.u.: 5.5

Lattice parameters (Å, degrees): 3.0050 4.1550 5.5589 90.00 90.00 90.00
Last column: nearest neighbours and their distance in Å.
Fractional coordinates of all 4 atoms:
As (0.0000, 0.5000, 0.5000)  4 Cl 2.56
Co (0.5000, 0.5000, 0.0000)  4 Cl 2.56
Cl (0.0000, 0.0000, 0.0000)  4 Co 2.56
Cl (0.5000, 0.0000, 0.5000)  4 As 2.56



Values of energy relative to the elements, uncorrected, in order: 0.051; -0.616; -0.667; -0.424; 0.305; 0.009; 0.166; 0.392, all in eV/atom.